Record 1
Here is a geometry-optimized ZrTlMo2Rh structure from Alexandria via LeMat-Bulk. Energies are from GGA-PBE.

Space group = P4/mmm
ρ = 8.7 g/cm3
Formation energy from the elements = 1220.7 meV per atom
Electronic total energy = -0.497 Ry per atom

a b c (Å): 4.7603 4.9658 4.7603
angles (deg): 90.00 90.00 90.00
Closest atoms and distances in Å follow each position.
Atoms (fractional coordinates):
Mo 0.5000 0.0000 0.0000  2 Rh 2.38
Mo 0.0000 0.0000 0.5000  2 Rh 2.38
Zr 0.5000 0.5000 0.5000  4 Tl 3.37, 8 Mo 3.44
Tl 0.0000 0.5000 0.0000  2 Rh 2.48
Rh 0.0000 0.0000 0.0000  4 Mo 2.38, 2 Tl 2.48

***

Record 2
Here is a geometry-optimized NaTlSb2 structure from Alexandria via LeMat-Bulk. Energies are from GGA-PBE.

Space group = Cmcm
ρ = 6.0 g/cm3
Formation energy from raw total energies = -0.149 eV per atom
Electronic total energy = -0.230 Ry per atom

a b c (Å): 8.0717 8.0717 6.6634
angles (deg): 90.00 90.00 142.83
Closest atoms and distances in Å follow each position.
Atoms (fractional coordinates):
Sb 0.4042 0.5958 0.0313  2 Sb 2.91-2.96, 2 Na 3.26
Tl 0.7906 0.2094 0.2500  6 Sb 3.43-3.52
Sb 0.5958 0.4042 0.9687  2 Sb 2.91-2.96, 2 Na 3.26
Na 0.9510 0.0490 0.7500  4 Sb 3.26, 2 Na 3.65
Tl 0.2094 0.7906 0.7500  6 Sb 3.43-3.52
Sb 0.5958 0.4042 0.5313  2 Sb 2.91-2.96, 2 Na 3.26
Na 0.0490 0.9510 0.2500  4 Sb 3.26, 2 Na 3.65
Sb 0.4042 0.5958 0.4687  2 Sb 2.91-2.96, 2 Na 3.26